# 1
Below is an optimized crystal structure of Tl2Tc, with properties calculated at the GGA-PBE level.

```
data_Tl2Tc
_symmetry_space_group_name_H-M 'P 1'
_symmetry_Int_Tables_number 1
_cell_length_a 5.932
_cell_length_b 5.932
_cell_length_c 5.932
_cell_angle_alpha 60.00
_cell_angle_beta 60.00
_cell_angle_gamma 60.00
loop_
_symmetry_equiv_pos_as_xyz
'x,y,z'
loop_
_atom_site_label
_atom_site_fract_x
_atom_site_fract_y
_atom_site_fract_z
Tc1 0.000 0.000 0.000
Tc2 0.250 0.250 0.250
Tl1 0.625 0.625 0.125
Tl2 0.625 0.125 0.625
Tl3 0.125 0.625 0.625
Tl4 0.625 0.625 0.625
```

Summary:
crystal system: cubic
volume: 147.6 Å³ per cell
offset from the most stable computed form: 0 meV/atom
symmetry: No. 227
magnetic moment: 6.2 Bohr magnetons per cell


# 2
Below is an optimized crystal structure of TlTc2, with properties calculated at the GGA-PBE level.

```
data_TlTc2
_symmetry_space_group_name_H-M 'P 1'
_symmetry_Int_Tables_number 1
_cell_length_a 8.798
_cell_length_b 8.798
_cell_length_c 8.798
_cell_angle_alpha 60.00
_cell_angle_beta 60.00
_cell_angle_gamma 60.00
loop_
_symmetry_equiv_pos_as_xyz
'x,y,z'
loop_
_atom_site_label
_atom_site_fract_x
_atom_site_fract_y
_atom_site_fract_z
Tc1 0.375 0.375 0.375
Tc2 0.875 0.375 0.375
Tc3 0.375 0.875 0.375
Tc4 0.375 0.375 0.875
Tl1 0.250 0.250 0.250
Tl2 0.500 0.500 0.500
```

Summary:
crystal system: cubic
volume: 481.6 Å³ per cell
offset from the most stable computed form: 2785 meV/atom
symmetry: No. 227
magnetic moment: 16.4 Bohr magnetons per cell


# 3
Below is an optimized crystal structure of TlTc2, with properties calculated at the GGA-PBE level.

```
data_TlTc2
_symmetry_space_group_name_H-M 'P 1'
_symmetry_Int_Tables_number 1
_cell_length_a 5.305
_cell_length_b 5.305
_cell_length_c 5.305
_cell_angle_alpha 60.00
_cell_angle_beta 60.00
_cell_angle_gamma 60.00
loop_
_symmetry_equiv_pos_as_xyz
'x,y,z'
loop_
_atom_site_label
_atom_site_fract_x
_atom_site_fract_y
_atom_site_fract_z
Tc1 0.625 0.625 0.125
Tc2 0.625 0.125 0.625
Tc3 0.125 0.625 0.625
Tc4 0.625 0.625 0.625
Tl1 0.000 0.000 0.000
Tl2 0.250 0.250 0.250
```

Summary:
crystal system: cubic
volume: 105.6 Å³ per cell
offset from the most stable computed form: 0 meV/atom
symmetry: No. 227
magnetic moment: 0.0 Bohr magnetons per cell


Q: Which value of magnetic moment does entry 3 give?
A: 0.0 Bohr magnetons per cell


Q: magnetic moment of number 1 (Tl2Tc)?
A: 6.2 Bohr magnetons per cell